Material: Ac3P2
Method: DFT, PBE-GGA
State: optimized geometry

The magnetic moment comes out at 0.00 μB/atom. The calculation puts the total energy at -5.6875 eV per atom. For the formation energy, the calculation gives -1058.4 meV/atom.

extended XYZ file:
```
10
Lattice="-2.415 5.221 -4.804 -1.311 -1.809 -7.154 -8.123 -0.503 -2.310" Properties=species:S:1:pos:R:3 pbc="T T T"
P -7.092 2.610 -11.138
Ac -8.458 2.774 -8.361
Ac -4.634 1.217 -9.952
Ac -3.391 0.136 -5.906
Ac -7.262 -1.332 -7.467
Ac -7.215 1.692 -4.315
P -9.290 0.652 -6.314
Ac -4.587 4.241 -6.800
P -4.757 0.300 -3.130
P -2.559 2.257 -7.954
```

***

Material: ScZnBr
Method: DFT, PBE-GGA
State: optimized geometry

The magnetic moment comes out at 0.00 μB/atom. The calculation puts the total energy at -3.1131 eV per atom. The calculation puts the uncorrected formation energy at -0.0203 eV/atom.

extended XYZ file:
```
3
Lattice="-3.065 0.711 -3.429 -0.739 -3.313 -3.184 -4.028 -2.331 -0.041" Properties=species:S:1:pos:R:3 pbc="T T T"
Br -5.874 -3.700 -4.991
Zn -3.916 -2.467 -3.327
Sc 0.000 0.000 0.000
```

***

Material: BePtSe
Method: DFT, PBE-GGA
State: optimized geometry

The magnetic moment comes out at 0.00 μB/atom. The calculation puts the total energy at -4.7259 eV per atom. The calculation puts the uncorrected formation energy at -0.3087 eV/atom.

extended XYZ file:
```
12
Lattice="6.812 0.000 0.000 0.000 3.952 0.000 0.000 0.000 7.964" Properties=species:S:1:pos:R:3 pbc="T T T"
Pt 1.791 0.988 3.510
Be 3.958 0.988 4.091
Be 0.552 0.988 7.855
Pt 5.197 0.988 0.472
Be 2.854 2.964 3.873
Se 4.278 2.964 6.793
Be 6.260 2.964 0.109
Se 2.534 0.988 1.171
Se 0.872 2.964 5.153
Pt 1.615 2.964 7.492
Pt 5.021 2.964 4.453
Se 5.940 0.988 2.811
```

***

Material: K7Rb12Hg
Method: DFT, PBE-GGA
State: optimized geometry

The magnetic moment comes out at 0.00 μB/atom. The calculation puts the total energy at -0.9721 eV per atom. For the formation energy, the calculation gives 7.7 meV/atom.

extended XYZ file:
```
20
Lattice="-4.707 3.776 6.137 0.333 -14.246 4.997 12.883 7.807 1.054" Properties=species:S:1:pos:R:3 pbc="T T T"
K 8.690 8.088 7.712
Rb 6.422 3.996 8.500
K -0.181 -10.751 4.475
Rb -2.337 -7.272 6.605
Rb 0.382 1.129 7.546
Rb 2.302 4.421 3.169
K 7.079 -2.429 8.924
Rb 6.206 -7.084 9.018
Rb 2.086 -6.659 3.687
Rb 5.380 0.648 5.738
K -1.425 5.138 5.793
Rb 3.128 -3.311 6.450
Rb 7.237 2.386 2.069
Hg 0.000 0.000 0.000
K -2.353 1.888 3.068
Rb 1.271 -5.049 10.119
Rb 8.127 -3.792 4.642
Rb 10.845 4.609 5.582
K 9.933 -7.801 6.394
K 1.430 -0.234 3.264
```

***

Material: Mg2CoCuSe
Method: DFT, PBE-GGA
State: optimized geometry

The magnetic moment comes out at 0.20 μB/atom. The calculation puts the total energy at -3.1784 eV per atom. The calculation puts the uncorrected formation energy at 0.3968 eV/atom.

extended XYZ file:
```
5
Lattice="-1.120 4.699 -0.463 -3.244 -0.494 2.829 3.015 1.078 3.646" Properties=species:S:1:pos:R:3 pbc="T T T"
Co 0.000 0.000 0.000
Cu -1.622 -0.247 1.414
Mg -0.560 2.349 -0.232
Se -0.674 2.641 3.006
Mg 1.508 0.539 1.823
```

***

Material: GaSn3Cl
Method: DFT, PBE-GGA
State: optimized geometry

The magnetic moment comes out at 0.00 μB/atom. The calculation puts the total energy at -3.1125 eV per atom. The calculation puts the uncorrected formation energy at 0.2639 eV/atom.

extended XYZ file:
```
5
Lattice="5.438 0.000 0.000 0.000 5.438 0.000 0.000 0.000 5.438" Properties=species:S:1:pos:R:3 pbc="T T T"
Cl 2.719 2.719 2.719
Ga 0.000 0.000 0.000
Sn 0.000 2.719 0.000
Sn 0.000 0.000 2.719
Sn 2.719 0.000 0.000
```

***

Material: K2SiAs2
Method: DFT, PBE-GGA
State: optimized geometry

The magnetic moment comes out at 0.00 μB/atom. The calculation puts the total energy at -3.5680 eV per atom. The calculation puts the uncorrected formation energy at -0.1846 eV/atom.

extended XYZ file:
```
10
Lattice="3.552 0.000 0.000 0.000 7.571 0.000 0.000 0.000 10.878" Properties=species:S:1:pos:R:3 pbc="T T T"
K 0.000 4.412 9.043
Si 0.000 0.000 0.000
Si 0.000 3.785 5.439
K 0.000 0.626 7.273
As 1.776 5.304 6.176
As 1.776 2.267 4.701
As 1.776 1.519 10.140
K 0.000 6.944 3.604
As 1.776 6.052 0.737
K 0.000 3.159 1.834
```

***

Material: TiCd2Mo
Method: DFT, PBE-GGA
State: optimized geometry

The magnetic moment comes out at 0.06 μB/atom. The calculation puts the total energy at -4.6844 eV per atom. For the formation energy, the calculation gives 454.6 meV/atom.

extended XYZ file:
```
4
Lattice="-2.303 0.254 4.082 -4.681 0.338 0.036 -2.604 -3.624 1.455" Properties=species:S:1:pos:R:3 pbc="T T T"
Cd -2.397 -0.758 1.393
Cd -7.191 -2.274 4.179
Mo -4.794 -1.516 2.786
Ti 0.000 0.000 0.000
```

***

Material: Cr2TcPt
Method: DFT, PBE-GGA
State: optimized geometry

The magnetic moment comes out at 0.00 μB/atom. The calculation puts the total energy at -8.8641 eV per atom. For the formation energy, the calculation gives 49.3 meV/atom.

extended XYZ file:
```
4
Lattice="-4.124 -0.185 1.985 -2.384 -1.151 3.739 0.060 4.152 2.229" Properties=species:S:1:pos:R:3 pbc="T T T"
Cr -6.444 2.797 7.938
Pt -1.612 0.704 1.988
Tc -4.837 2.112 5.965
Cr -3.230 1.426 3.992
```

***

Material: Dy5Cd2O2
Method: DFT, PBE-GGA
State: optimized geometry

The magnetic moment comes out at 0.00 μB/atom. The calculation puts the total energy at -5.2597 eV per atom. The calculation puts the uncorrected formation energy at -1.3978 eV/atom.

extended XYZ file:
```
18
Lattice="-5.000 3.625 -3.276 -4.753 -4.218 2.588 4.060 5.547 7.402" Properties=species:S:1:pos:R:3 pbc="T T T"
O -4.922 -0.336 -0.319
Dy -0.772 3.070 8.305
Dy -5.136 3.213 5.068
O -0.045 -0.040 0.024
Dy -3.015 6.355 0.453
O -5.525 2.430 3.083
Dy -1.018 4.059 4.915
Dy -7.388 -0.304 -0.248
Dy 1.605 5.178 7.012
Cd -3.191 5.711 3.625
Cd -2.790 3.134 0.162
O -0.260 2.444 3.681
Dy -4.763 0.818 1.847
Dy -5.012 1.806 -1.542
Dy -0.396 0.625 5.019
Dy -0.645 1.664 1.694
Cd -2.596 -0.838 3.140
Cd -2.996 1.738 6.603
```

***

Material: Mg3TiP
Method: DFT, PBE-GGA
State: optimized geometry

The magnetic moment comes out at 0.42 μB/atom. The calculation puts the total energy at -2.3287 eV per atom. For the formation energy, the calculation gives 1289.0 meV/atom.

extended XYZ file:
```
5
Lattice="5.275 0.000 0.000 0.000 5.275 0.000 0.000 0.000 5.275" Properties=species:S:1:pos:R:3 pbc="T T T"
Ti 0.000 0.000 0.000
P 2.637 2.637 2.637
Mg 2.637 0.000 0.000
Mg 0.000 2.637 0.000
Mg 0.000 0.000 2.637
```

***

Material: YTl2Zn
Method: DFT, PBE-GGA
State: optimized geometry

The magnetic moment comes out at 0.00 μB/atom. The calculation puts the total energy at -3.2165 eV per atom. For the formation energy, the calculation gives -98.9 meV/atom.

extended XYZ file:
```
4
Lattice="4.750 0.000 0.000 0.000 3.575 0.001 0.000 1.000 6.057" Properties=species:S:1:pos:R:3 pbc="T T T"
Tl 0.000 2.996 0.002
Y 0.000 2.380 3.220
Zn 2.375 4.157 4.383
Tl 2.375 0.906 1.483
```

***

Material: Na2PmSn3S6
Method: DFT, PBE-GGA
State: optimized geometry

The magnetic moment comes out at 0.00 μB/atom. The calculation puts the total energy at -4.6133 eV per atom. The calculation puts the uncorrected formation energy at -0.9332 eV/atom.

extended XYZ file:
```
12
Lattice="-1.012 5.056 4.791 0.678 -6.706 2.026 6.818 1.383 -1.718" Properties=species:S:1:pos:R:3 pbc="T T T"
Sn 2.675 3.815 3.477
Sn 3.242 -0.134 2.549
Na -0.451 1.151 3.873
S 4.967 0.640 0.315
S 1.350 1.786 1.680
S 1.517 -0.907 4.784
S 5.134 -2.053 3.418
S 4.603 1.641 4.287
S 1.881 -1.908 0.812
Sn 3.809 -4.082 1.621
Na 0.117 -2.801 2.944
Pm 0.000 0.000 0.000
```

***

Material: ScBe
Method: DFT, PBE-GGA
State: optimized geometry

The magnetic moment comes out at 0.00 μB/atom. The calculation puts the total energy at -4.5878 eV per atom. For the formation energy, the calculation gives 441.1 meV/atom.

extended XYZ file:
```
2
Lattice="3.721 0.000 0.000 1.861 3.223 0.000 1.861 1.074 3.038" Properties=species:S:1:pos:R:3 pbc="T T T"
Be 0.000 0.000 0.000
Sc 3.721 2.148 1.519
```

***

Material: BeZnF2
Method: DFT, PBE-GGA
State: optimized geometry

The magnetic moment comes out at 0.00 μB/atom. The calculation puts the total energy at -2.7916 eV per atom. The calculation puts the uncorrected formation energy at -0.6059 eV/atom.

extended XYZ file:
```
4
Lattice="0.000 2.870 2.870 2.870 0.000 2.870 2.870 2.870 0.000" Properties=species:S:1:pos:R:3 pbc="T T T"
Zn 2.870 2.870 2.870
F 4.305 4.305 4.305
Be 0.000 0.000 0.000
F 1.435 1.435 1.435
```

***

Material: TbTh2Pt
Method: DFT, PBE-GGA
State: optimized geometry

The magnetic moment comes out at 0.10 μB/atom. The calculation puts the total energy at -6.5276 eV per atom. For the formation energy, the calculation gives -149.9 meV/atom.

extended XYZ file:
```
4
Lattice="-1.413 2.636 -2.263 -1.006 -0.880 -3.504 -10.470 -1.717 1.429" Properties=species:S:1:pos:R:3 pbc="T T T"
Pt -6.444 0.020 -2.169
Tb 0.000 0.000 0.000
Th -7.424 -0.991 0.373
Th -5.464 1.031 -4.711
```

***

Material: BaCaP2
Method: DFT, PBE-GGA
State: optimized geometry

The magnetic moment comes out at 0.00 μB/atom. The calculation puts the total energy at -4.5823 eV per atom. For the formation energy, the calculation gives -896.2 meV/atom.

extended XYZ file:
```
4
Lattice="-4.105 1.376 -3.885 -5.219 -2.082 -1.503 -2.639 2.828 2.871" Properties=species:S:1:pos:R:3 pbc="T T T"
Ca -2.693 0.238 -0.915
Ba -6.430 1.481 -0.859
P -9.423 -0.149 -4.626
P -8.722 0.908 -2.763
```

***

Material: TlAg2Cl3
Method: DFT, PBE-GGA
State: optimized geometry

The magnetic moment comes out at 0.00 μB/atom. The calculation puts the total energy at -2.8952 eV per atom. The calculation puts the uncorrected formation energy at -0.6271 eV/atom.

extended XYZ file:
```
12
Lattice="7.057 0.000 0.000 0.000 6.933 -3.729 0.000 -0.017 7.872" Properties=species:S:1:pos:R:3 pbc="T T T"
Cl 0.543 2.103 1.260
Ag 0.075 2.365 6.583
Cl 4.556 2.217 6.149
Ag 3.603 4.551 -2.440
Tl 3.689 2.130 1.276
Tl 0.161 4.785 2.867
Cl 1.027 0.448 5.089
Cl 4.072 4.812 2.883
Ag 3.603 -0.004 5.164
Cl 1.027 4.699 -2.006
Cl 4.556 6.467 -0.946
Ag 0.075 6.920 -1.021
```

***

Material: Tb2YZn
Method: DFT, PBE-GGA
State: optimized geometry

The magnetic moment comes out at 0.25 μB/atom. The calculation puts the total energy at -4.0915 eV per atom. For the formation energy, the calculation gives 158.1 meV/atom.

extended XYZ file:
```
4
Lattice="3.471 0.000 0.000 1.736 3.006 0.000 1.736 1.002 11.412" Properties=species:S:1:pos:R:3 pbc="T T T"
Tb 1.736 1.002 7.960
Tb 5.207 3.006 3.452
Y 0.000 0.000 0.000
Zn 3.471 2.004 5.706
```

***

Material: BaAl3Au2
Method: DFT, PBE-GGA
State: optimized geometry

The magnetic moment comes out at 0.00 μB/atom. The calculation puts the total energy at -3.7873 eV per atom. For the formation energy, the calculation gives -503.1 meV/atom.

extended XYZ file:
```
12
Lattice="4.367 0.000 0.000 -2.184 8.289 0.217 0.000 -3.539 7.492" Properties=species:S:1:pos:R:3 pbc="T T T"
Au 0.000 5.083 6.264
Au 2.184 4.019 2.909
Al 0.000 -0.841 2.709
Al 2.184 -0.774 5.097
Ba 2.184 2.496 7.100
Ba 0.000 2.254 0.609
Au 0.000 0.730 4.800
Al 2.184 5.590 5.000
Au 2.184 -0.334 1.444
Al 0.000 3.283 4.340
Al 2.184 1.467 3.368
Al 0.000 5.524 2.611
```

***

Material: Cr2InSb
Method: DFT, PBE-GGA
State: optimized geometry

The magnetic moment comes out at 1.63 μB/atom. The calculation puts the total energy at -6.1333 eV per atom. The calculation puts the uncorrected formation energy at 0.3936 eV/atom.

extended XYZ file:
```
4
Lattice="-2.428 2.319 4.475 -5.432 1.326 -0.165 3.277 -4.376 -1.186" Properties=species:S:1:pos:R:3 pbc="T T T"
Cr -3.043 -0.614 0.402
Cr 0.000 0.000 0.000
Sb -1.540 -0.117 2.722
In -3.930 1.822 2.155
```

***

Material: BaRhAu2
Method: DFT, PBE-GGA
State: optimized geometry

The magnetic moment comes out at 0.00 μB/atom. The calculation puts the total energy at -3.9736 eV per atom. For the formation energy, the calculation gives -16.3 meV/atom.

extended XYZ file:
```
4
Lattice="3.678 0.000 0.000 0.000 3.678 0.000 0.000 0.000 7.098" Properties=species:S:1:pos:R:3 pbc="T T T"
Ba 0.000 0.000 3.558
Rh 1.839 1.839 5.916
Au 1.839 1.839 1.516
Au 0.000 0.000 6.754
```

***

Material: Sr2TlSb
Method: DFT, PBE-GGA
State: optimized geometry

The magnetic moment comes out at 0.00 μB/atom. The calculation puts the total energy at -3.0401 eV per atom. The calculation puts the uncorrected formation energy at -0.5770 eV/atom.

extended XYZ file:
```
4
Lattice="6.987 0.004 0.007 3.697 5.929 -0.007 -5.107 -3.391 3.354" Properties=species:S:1:pos:R:3 pbc="T T T"
Tl 5.686 3.158 0.000
Sr 10.539 5.853 0.000
Sb 3.378 -0.339 1.680
Sr 2.000 2.772 1.674
```

***

Material: Sc4CuPdPt2
Method: DFT, PBE-GGA
State: optimized geometry

The magnetic moment comes out at 0.00 μB/atom. The calculation puts the total energy at -6.7885 eV per atom. For the formation energy, the calculation gives -951.4 meV/atom.

extended XYZ file:
```
8
Lattice="4.655 0.000 0.000 2.327 4.031 0.000 2.327 1.344 7.624" Properties=species:S:1:pos:R:3 pbc="T T T"
Sc 6.982 4.031 2.875
Sc 4.655 2.687 6.654
Pt 2.327 1.344 1.907
Sc 4.655 2.687 0.970
Pt 6.982 4.031 5.718
Sc 2.327 1.344 4.749
Pd 0.000 0.000 0.000
Cu 4.655 2.687 3.812
```

***

Material: Tb7Te2Os2
Method: DFT, PBE-GGA
State: optimized geometry

The magnetic moment comes out at 0.01 μB/atom. The calculation puts the total energy at -6.2119 eV per atom. The calculation puts the uncorrected formation energy at -0.6524 eV/atom.

extended XYZ file:
```
11
Lattice="3.916 0.000 0.840 1.028 8.101 4.755 0.022 0.063 9.450" Properties=species:S:1:pos:R:3 pbc="T T T"
Te 0.786 6.167 5.885
Os 1.364 2.694 3.193
Tb 2.211 6.016 8.794
Tb 3.284 0.681 3.787
Tb 0.719 0.939 6.199
Os 3.788 6.945 10.991
Tb 2.970 3.854 5.254
Tb 2.003 0.248 9.762
Tb 1.475 5.833 12.222
Tb 3.769 3.406 11.077
Te 2.338 2.926 8.198
```